This record from the Alexandria database describes an optimized crystal structure of Tb3Pa. The functional is GGA-PBE.

Output
Energy relative to the lowest polymorph listed for this composition, eV/atom: 0.0000
Calculated volume, A^3/atom: 29.87
Raw total energy, eV/atom: -5.65
Formation energy from the elements, meV per atom: 194
Size of the total moment, μB per cell: 0.00
Space group: Imm2
D(E_F), states/eV/cell: 6.73

Cell lengths 3.4472, 6.0661, 6.6939 Å; angles 116.94, 104.92, 90.00 degrees
Element x y z (fractional)
Pa: 0.0000 0.9941 0.0000
Tb: 0.2572 0.5946 0.5145
Tb: 0.5000 0.4980 0.0000
Tb: 0.7428 0.0801 0.4855